This record from Alexandria via LeMat-Bulk describes B2CS after structural relaxation. The functional is PBE-GGA.

Output
E_form (uncorrected) ... 2.474 eV per atom
Size of the total moment ... 0.00 μB/f.u.
ΔE to the lowest computed polymorph ... 2636 meV per atom

Unit cell a=5.107 b=5.107 c=5.107 alpha=90.00 beta=90.00 gamma=90.00
Space group Fm-3m (No. 225)
Asymmetric unit:
1 B 0.250 0.250 0.250 [8 per cell]
2 C 0.000 0.000 0.000 [4 per cell]
3 S 0.000 0.000 0.500 [4 per cell]

This record from Alexandria via LeMat-Bulk describes NaMgPd2 after structural relaxation. The functional is PBE-GGA.

Output
Energy of formation ... -0.419 eV/atom
Size of the total moment ... 0.00 μB/f.u.

Unit cell a=3.049 b=3.049 c=7.572 alpha=90.00 beta=90.00 gamma=90.00
Space group P4/mmm (No. 123)
Asymmetric unit:
1 Na 0.000 0.000 0.000 [1 per cell]
2 Mg 0.000 0.000 0.500 [1 per cell]
3 Pd 0.500 0.500 0.284 [2 per cell]

This record from Alexandria via LeMat-Bulk describes Ti4AlCu after structural relaxation. The functional is PBE-GGA.

Output
Energy of formation ... -0.183 eV/atom
Size of the total moment ... 0.00 μB/f.u.
ΔE to the lowest computed polymorph ... 0 meV per atom

Unit cell a=2.908 b=2.908 c=11.430 alpha=90.00 beta=90.00 gamma=90.00
Space group P4/mmm (No. 123)
Asymmetric unit:
1 Ti 0.000 0.000 0.155 [2 per cell]
2 Ti 0.500 0.500 0.327 [2 per cell]
3 Al 0.000 0.000 0.500 [1 per cell]
4 Cu 0.500 0.500 0.000 [1 per cell]

This record from Alexandria via LeMat-Bulk describes LaScTi2 after structural relaxation. The functional is PBE-GGA.

Output
Energy of formation ... 0.647 eV/atom
Size of the total moment ... 2.12 μB/f.u.
ΔE to the lowest computed polymorph ... 306 meV per atom

Unit cell a=7.885 b=7.885 c=6.105 alpha=90.00 beta=90.00 gamma=90.00
Space group I-42d (No. 122)
Asymmetric unit:
1 La 0.000 0.000 0.000 [4 per cell]
2 Sc 0.000 0.000 0.500 [4 per cell]
3 Ti 0.240 0.250 0.625 [8 per cell]

This record from Alexandria via LeMat-Bulk describes Er2TmIr2 after structural relaxation. The functional is PBE-GGA.

Output
Energy of formation ... -0.781 eV/atom
Size of the total moment ... 0.00 μB/f.u.
ΔE to the lowest computed polymorph ... 69 meV per atom

Unit cell a=10.542 b=5.521 c=8.202 alpha=90.00 beta=109.07 gamma=90.00
Space group C2/c (No. 15)
Asymmetric unit:
1 Er 0.148 0.157 0.151 [8 per cell]
2 Tm 0.000 0.346 0.750 [4 per cell]
3 Ir 0.139 0.347 0.508 [8 per cell]

This record from Alexandria via LeMat-Bulk describes NpUTe2 after structural relaxation. The functional is PBE-GGA.

Output
E_form (uncorrected) ... -0.495 eV per atom
Size of the total moment ... 8.49 μB/f.u.
ΔE to the lowest computed polymorph ... 1 meV per atom

Unit cell a=5.306 b=5.306 c=3.755 alpha=90.00 beta=90.00 gamma=90.00
Space group P4/mmm (No. 123)
Asymmetric unit:
1 Np 0.000 0.000 0.000 [1 per cell]
2 U 0.500 0.500 0.000 [1 per cell]
3 Te 0.000 0.500 0.500 [2 per cell]

This record from Alexandria via LeMat-Bulk describes ScTc2Sb after structural relaxation. The functional is PBE-GGA.

Output
E_form (uncorrected) ... 0.008 eV per atom
Size of the total moment ... 0.00 μB/f.u.

Unit cell a=3.389 b=4.659 c=8.755 alpha=90.00 beta=90.00 gamma=90.00
Space group Immm (No. 71)
Asymmetric unit:
1 Sc 0.000 0.000 0.000 [2 per cell]
2 Tc 0.000 0.500 0.252 [4 per cell]
3 Sb 0.000 0.000 0.500 [2 per cell]

This record from Alexandria via LeMat-Bulk describes Tm2ScCd4 after structural relaxation. The functional is PBE-GGA.

Output
Energy of formation ... -0.145 eV/atom
Size of the total moment ... 0.00 μB/f.u.

Unit cell a=5.155 b=5.155 c=13.655 alpha=90.00 beta=90.00 gamma=90.00
Space group I4/mmm (No. 139)
Asymmetric unit:
1 Tm 0.000 0.000 0.245 [4 per cell]
2 Sc 0.000 0.000 0.500 [2 per cell]
3 Cd 0.000 0.500 0.111 [8 per cell]

This record from Alexandria via LeMat-Bulk describes LaSc2Te after structural relaxation. The functional is PBE-GGA.

Output
E_form (uncorrected) ... -0.554 eV per atom
Size of the total moment ... 0.00 μB/f.u.

Unit cell a=3.903 b=4.815 c=6.242 alpha=90.00 beta=107.80 gamma=90.00
Space group Pm (No. 6)
Asymmetric unit:
1 La 0.000 0.000 0.000 [1 per cell]
2 Sc 0.273 0.000 0.534 [1 per cell]
3 Sc 0.708 0.500 0.405 [1 per cell]
4 Te 0.414 0.500 0.823 [1 per cell]

This record from Alexandria via LeMat-Bulk describes CaReTc2O8 after structural relaxation. The functional is PBE-GGA.

Output
E_form (uncorrected) ... -1.712 eV per atom
Size of the total moment ... 0.00 μB/f.u.

Unit cell a=6.752 b=7.003 c=6.068 alpha=90.00 beta=90.00 gamma=90.00
Space group Cmmm (No. 65)
Asymmetric unit:
1 Ca 0.000 0.000 0.000 [2 per cell]
2 Re 0.000 0.000 0.500 [2 per cell]
3 Tc 0.000 0.500 0.267 [4 per cell]
4 O 0.000 0.283 0.500 [4 per cell]
5 O 0.000 0.332 0.000 [4 per cell]
6 O 0.212 0.000 0.289 [8 per cell]

This record from Alexandria via LeMat-Bulk describes K2TaS2 after structural relaxation. The functional is PBE-GGA.

Output
E_form (uncorrected) ... 0.346 eV per atom
Size of the total moment ... 0.23 μB/f.u.
ΔE to the lowest computed polymorph ... 819 meV per atom

Unit cell a=3.630 b=3.630 c=14.943 alpha=90.00 beta=90.00 gamma=90.00
Space group I4/mmm (No. 139)
Asymmetric unit:
1 K 0.000 0.500 0.250 [4 per cell]
2 Ta 0.000 0.000 0.000 [2 per cell]
3 S 0.000 0.000 0.408 [4 per cell]

This record from Alexandria via LeMat-Bulk describes Cd2TcSn after structural relaxation. The functional is PBE-GGA.

Output
Energy of formation ... 0.562 eV/atom
Size of the total moment ... 1.00 μB/f.u.

Unit cell a=8.140 b=8.140 c=5.439 alpha=90.00 beta=90.00 gamma=90.00
Space group I-42d (No. 122)
Asymmetric unit:
1 Cd 0.215 0.750 0.125 [8 per cell]
2 Tc 0.000 0.000 0.000 [4 per cell]
3 Sn 0.000 0.000 0.500 [4 per cell]

This record from Alexandria via LeMat-Bulk describes CoCuTc2 after structural relaxation. The functional is PBE-GGA.

Output
Energy of formation ... 0.289 eV/atom
Size of the total moment ... 1.64 μB/f.u.
ΔE to the lowest computed polymorph ... 163 meV per atom

Unit cell a=3.019 b=4.215 c=8.443 alpha=90.00 beta=90.00 gamma=90.00
Space group Cmm2 (No. 35)
Asymmetric unit:
1 Co 0.000 0.000 0.000 [2 per cell]
2 Cu 0.000 0.500 0.763 [2 per cell]
3 Tc 0.000 0.000 0.504 [2 per cell]
4 Tc 0.000 0.500 0.241 [2 per cell]

This record from Alexandria via LeMat-Bulk describes CdCo2Ni after structural relaxation. The functional is PBE-GGA.

Output
Energy of formation ... 0.573 eV/atom
Size of the total moment ... 3.90 μB/f.u.
ΔE to the lowest computed polymorph ... 416 meV per atom

Unit cell a=3.598 b=3.598 c=17.991 alpha=90.00 beta=90.00 gamma=90.00
Space group I-42d (No. 122)
Asymmetric unit:
1 Cd 0.000 0.000 0.000 [4 per cell]
2 Co 0.199 0.250 0.625 [8 per cell]
3 Ni 0.000 0.000 0.500 [4 per cell]